# 1
Entry from Alexandria via LeMat-Bulk: a relaxed CeThZnCo2 crystal (GGA-PBE).

Results
The calculation puts the density of states at the Fermi level at 1.006 states/eV/atom. The value obtained for the energy of formation is -0.124 eV/atom. The total energy is -5.891 eV per atom. The total magnetization comes out at 0.0000 μB/atom.

a b c (Å): 13.6178 3.8283 8.4094
angles (deg): 90.00 98.59 90.00
Closest atoms and distances in Å follow each position.
Space group C2/m (No. 12)
One atom of each set of equivalent atoms:
Ce  0.0347  0.0000  0.2301  1 Co 2.14
Th  0.1993  0.5000  0.6644  5 Co 2.77-2.91
Zn  0.1845  0.5000  0.0495  4 Co 2.46-2.66
Co  0.1188  0.0000  0.8708  1 Ce 2.14
Co  0.1532  0.5000  0.3300  1 Zn 2.46, 2 Ce 2.56

=====

# 2
Entry from Alexandria via LeMat-Bulk: a relaxed Li3NdPd3 crystal (GGA-PBE).

Results
The calculation puts the density of states at the Fermi level at 0.663 states/eV/atom. The value obtained for the energy of formation is -0.032 eV/atom. The total energy is -3.759 eV per atom. The total magnetization comes out at 0.0000 μB/atom.

a b c (Å): 6.4446 6.4446 6.4446
angles (deg): 90.00 90.00 90.00
Closest atoms and distances in Å follow each position.
Space group Pm-3n (No. 223)
One atom of each set of equivalent atoms:
Li  0.0000  0.2500  0.5000  4 Pd 2.28
Nd  0.0000  0.0000  0.0000  12 Li 3.60, 12 Pd 3.60
Pd  0.0000  0.5000  0.2500  4 Li 2.28

=====

# 3
Entry from Alexandria via LeMat-Bulk: a relaxed CaBeRhO4 crystal (GGA-PBE).

Results
The calculation puts the density of states at the Fermi level at 0.554 states/eV/atom. The total energy is -6.336 eV per atom. The formation energy (no corrections) is -1634 meV per atom. The total magnetization comes out at 0.1540 μB/atom.

a b c (Å): 5.8532 8.8148 6.4994
angles (deg): 90.00 90.00 90.00
Closest atoms and distances in Å follow each position.
Space group Cmcm (No. 63)
One atom of each set of equivalent atoms:
Ca  0.0000  0.0000  0.0000  6 O 2.33-2.40
Be  0.0000  0.3708  0.2500  4 O 1.64-1.65
Rh  0.0000  0.3324  0.7500  4 O 1.94-1.98
O  0.0000  0.2712  0.0369  1 Be 1.64
O  0.2139  0.4931  0.2500  1 Be 1.65

=====

# 4
Entry from Alexandria via LeMat-Bulk: a relaxed La3TlGa crystal (GGA-PBE).

Results
The calculation puts the density of states at the Fermi level at 2.697 states/eV/atom. The calculation puts the energy relative to the lowest polymorph listed for this composition at 399.9 meV/atom. The value obtained for the energy of formation is -0.006 eV/atom. The total energy is -4.041 eV per atom. The total magnetization comes out at 0.0001 μB/atom.

a b c (Å): 6.0073 6.0073 6.0073
angles (deg): 90.00 90.00 90.00
Closest atoms and distances in Å follow each position.
Space group Pm-3m (No. 221)
One atom of each set of equivalent atoms:
La  0.0000  0.0000  0.5000  2 Ga 3.00
Tl  0.5000  0.5000  0.5000  12 La 4.25
Ga  0.0000  0.0000  0.0000  6 La 3.00

=====

# 5
Entry from Alexandria via LeMat-Bulk: a relaxed Pm5Ir2Pb crystal (GGA-PBE).

Results
The calculation puts the density of states at the Fermi level at 1.042 states/eV/atom. The value obtained for the energy of formation is -0.615 eV/atom. The total energy is -6.263 eV per atom. The total magnetization comes out at 0.0000 μB/atom.

a b c (Å): 7.9903 7.9903 13.9850
angles (deg): 90.00 90.00 90.00
Closest atoms and distances in Å follow each position.
Space group I4/mcm (No. 140)
One atom of each set of equivalent atoms:
Pm  0.0000  0.0000  0.0000  4 Ir 3.09
Pm  0.1597  0.3403  0.1320  3 Ir 2.93-3.03
Ir  0.1395  0.3605  0.5000  8 Pm 2.93-3.09, 1 Ir 3.15
Pb  0.0000  0.0000  0.2500  10 Pm 3.43-3.50